The following is a DFT calculation (PBE with a Hubbard U) of a relaxed structure of LiCoRh2O4.

Cell lengths 5.2348, 4.3668, 5.2324 Å; angles 65.37, 49.31, 65.31 degrees
Last column: nearest neighbours and their distance in Å.
Atoms (fractional coordinates):
Li 0.0000 0.0000 0.0000  6 O 2.09-2.28
Co 0.4952 0.4952 0.5048  6 O 2.07-2.24
Rh 0.2613 0.2613 0.2387  6 O 2.12-2.22
Rh 0.7613 0.7613 0.7387  6 O 2.12-2.22
O 0.2572 0.7481 0.2519  1 Co 2.07, 4 Rh 2.15-2.22, 1 Li 2.15
O 0.4783 0.9834 0.5217  2 Li 2.09-2.28, 2 Rh 2.12, 2 Co 2.13-2.24
O 0.7481 0.2572 0.7428  1 Co 2.07, 4 Rh 2.15-2.22, 1 Li 2.15
O 0.9834 0.4783 0.0166  2 Li 2.09-2.28, 2 Rh 2.12, 2 Co 2.13-2.24

Summary:
- Fermi-level density of states: 6.14 states/eV/cell
- Symmetry: Fmm2 (42)
- Volume: 81 Å³/f.u.
- Total energy: -5.9103 eV per atom